1.
This record from Alexandria via LeMat-Bulk describes crystalline Ba2Cd2P at its relaxed geometry. The functional is PBE.

a b c (Å): 8.0205 8.0205 5.1137
angles (deg): 90.00 90.00 90.00
Closest atoms and distances in Å follow each position.
Atoms (fractional coordinates):
1 Ba 0.1837 0.3163 0.0000  6 Cd 3.35-3.59
2 Ba 0.3163 0.8163 0.0000  6 Cd 3.35-3.59
3 Ba 0.6837 0.1837 0.0000  6 Cd 3.35-3.59
4 Ba 0.8163 0.6837 0.0000  6 Cd 3.35-3.59
5 Cd 0.1258 0.6258 0.5000  1 Cd 2.85, 2 P 3.17
6 Cd 0.3742 0.1258 0.5000  1 Cd 2.85, 2 P 3.17
7 Cd 0.6258 0.8742 0.5000  1 Cd 2.85, 2 P 3.17
8 Cd 0.8742 0.3742 0.5000  1 Cd 2.85, 2 P 3.17
9 P 0.0000 0.0000 0.5000  4 Cd 3.17
10 P 0.5000 0.5000 0.5000  4 Cd 3.17

Results
* E above lowest polymorph: 0.244 eV per atom
* SG: P4/mbm, No. 127


2.
This record from Alexandria via LeMat-Bulk describes crystalline Ce2PmPrSe4 at its relaxed geometry. The functional is PBE.

a b c (Å): 7.3043 4.2002 7.3338
angles (deg): 90.00 109.25 90.00
Closest atoms and distances in Å follow each position.
Atoms (fractional coordinates):
1 Ce 0.0000 0.0000 0.0000  6 Se 2.96
2 Ce 0.5000 0.5000 0.0000  6 Se 2.99
3 Pm 0.0000 0.5000 0.5000  6 Se 2.98
4 Pr 0.5000 0.0000 0.5000  6 Se 3.00
5 Se 0.2463 0.5000 0.2471  3 Ce 2.96-2.99, 1 Pm 2.98, 2 Pr 3.00
6 Se 0.2475 0.0000 0.7508  3 Ce 2.96-2.99, 2 Pm 2.98, 1 Pr 3.00
7 Se 0.7525 0.0000 0.2492  3 Ce 2.96-2.99, 2 Pm 2.98, 1 Pr 3.00
8 Se 0.7537 0.5000 0.7529  3 Ce 2.96-2.99, 1 Pm 2.98, 2 Pr 3.00

Results
* total DFT energy (no corrections): -6.2527 eV per atom
* SG: P2/m, No. 10


3.
This record from Alexandria via LeMat-Bulk describes crystalline TlGa2Si2 at its relaxed geometry. The functional is PBE.

a b c (Å): 6.1098 6.1098 6.1098
angles (deg): 137.35 137.35 61.90
Closest atoms and distances in Å follow each position.
Atoms (fractional coordinates):
1 Tl 0.0000 0.0000 0.0000  8 Ga 3.39, 8 Si 3.44
2 Ga 0.3792 0.3792 0.0000  1 Ga 2.53, 4 Si 2.60
3 Ga 0.6208 0.6208 0.0000  1 Ga 2.53, 4 Si 2.60
4 Si 0.2500 0.7500 0.5000  4 Ga 2.60
5 Si 0.7500 0.2500 0.5000  4 Ga 2.60

Results
* E above lowest polymorph: 0.103 eV per atom
* SG: I4/mmm, No. 139


4.
This record from Alexandria via LeMat-Bulk describes crystalline BaIn2Co at its relaxed geometry. The functional is PBE.

a b c (Å): 4.2001 4.5938 6.6039
angles (deg): 90.00 108.20 90.00
Closest atoms and distances in Å follow each position.
Atoms (fractional coordinates):
1 Ba 0.0000 0.0000 0.0000  3 In 3.46-3.51, 4 Co 3.59-3.60
2 In 0.2712 0.5000 0.5491  2 Co 2.66
3 In 0.7203 0.0000 0.4486  2 Co 2.51
4 Co 0.6429 0.5000 0.2879  4 In 2.51-2.66

Results
* total DFT energy (no corrections): -3.4971 eV per atom
* SG: Pm, No. 6


5.
This record from Alexandria via LeMat-Bulk describes crystalline CsLiFe3 at its relaxed geometry. The functional is PBE.

a b c (Å): 4.7649 4.7649 4.7649
angles (deg): 90.00 90.00 90.00
Closest atoms and distances in Å follow each position.
Atoms (fractional coordinates):
1 Cs 0.0000 0.0000 0.0000  12 Fe 3.37
2 Li 0.5000 0.5000 0.5000  6 Fe 2.38
3 Fe 0.0000 0.5000 0.5000  2 Li 2.38
4 Fe 0.5000 0.0000 0.5000  2 Li 2.38
5 Fe 0.5000 0.5000 0.0000  2 Li 2.38

Results
* E above lowest polymorph: 0.000 eV per atom
* SG: Pm-3m, No. 221


6.
This record from Alexandria via LeMat-Bulk describes crystalline CdPWS2 at its relaxed geometry. The functional is PBE.

a b c (Å): 4.6313 4.6313 4.9867
angles (deg): 90.00 90.00 90.00
Closest atoms and distances in Å follow each position.
Atoms (fractional coordinates):
1 Cd 0.0000 0.0000 0.0000  4 P 3.27, 8 S 3.40
2 P 0.5000 0.5000 0.0000  2 W 2.49
3 W 0.5000 0.5000 0.5000  4 S 2.32, 2 P 2.49
4 S 0.0000 0.5000 0.5000  2 W 2.32
5 S 0.5000 0.0000 0.5000  2 W 2.32

Results
* E above lowest polymorph: 0.000 eV per atom
* SG: P4/mmm, No. 123